[1]
Density functional theory data (PBE) for a relaxed structure of PmDySnHg.

```
PmDySnHg
1.0
0.000 3.782 3.782
3.782 0.000 3.782
3.782 3.782 0.000
Pm Dy Sn Hg
1 1 1 1
direct
0.000 0.000 0.000 Pm
0.500 0.500 0.500 Dy
0.250 0.250 0.250 Sn
0.750 0.750 0.750 Hg
```

## Properties
Calculated formation energy: -0.5800 eV per atom
Theoretical density: 9.62 Mg/m³
Size of the total moment: 0.0 μB per cell

---

[2]
Density functional theory data (PBE) for a relaxed structure of PmDySnHg.

```
PmDySnHg
1.0
3.822 0.000 0.000
0.000 3.822 0.000
0.000 0.000 7.440
Pm Dy Sn Hg
1 1 1 1
direct
0.000 0.000 0.000 Pm
0.000 0.000 0.507 Dy
0.500 0.500 0.262 Sn
0.500 0.500 0.740 Hg
```

## Properties
Calculated formation energy: -0.5703 eV per atom
Theoretical density: 9.58 Mg/m³
Size of the total moment: 0.0 μB per cell

---

Number 1: energy above the lowest structure with this stoichiometry 0.000 eV/atom, VASP energy -0.2936 Ry/atom. Number 2: energy above the lowest structure with this stoichiometry 0.010 eV/atom, VASP energy -0.2929 Ry/atom.